## Li3SiIr2 (PBE-GGA)

Data for Li3SiIr2 after structural relaxation.

Summary:
total energy: -5.234 eV/atom
energy relative to the elements, uncorrected: -0.42 eV per atom

Lattice parameters (Å, degrees): 5.3949 5.3949 7.3011 90.32 90.32 121.13
Sites, in units of the cell vectors:
Li 0.2054 0.4992 0.3906
Li 0.5008 0.7946 0.1094
Li 0.7946 0.5008 0.6094
Li 0.4992 0.2054 0.8906
Li 0.6383 0.3617 0.2500
Li 0.3617 0.6383 0.7500
Si 0.0183 0.9817 0.2500
Si 0.9817 0.0183 0.7500
Ir 0.0174 0.2793 0.0115
Ir 0.7207 0.9826 0.4885
Ir 0.9826 0.7207 0.9885
Ir 0.2793 0.0174 0.5115

=====

## LiSi2Ir (PBE-GGA)

Data for LiSi2Ir after structural relaxation.

Summary:
total energy: -5.470 eV/atom
offset from the most stable computed form: 0.421 eV per atom
energy relative to the elements, uncorrected: -0.06 eV per atom

Lattice parameters (Å, degrees): 4.1901 4.1901 4.1901 60.00 60.00 60.00
Sites, in units of the cell vectors:
Ir 0.5000 0.5000 0.5000
Li 0.7500 0.7500 0.7500
Si 0.0000 0.0000 0.0000
Si 0.2500 0.2500 0.2500